[1]
An optimized crystal structure of CaAc2GeO6. Source: Alexandria via LeMat-Bulk, functional GGA-PBE.

The structure belongs to space group P4mm (No. 99); the cell edges are 5.654, 5.654 and 4.794 Å and the angles 90.00°, 90.00° and 90.00°. The asymmetric unit holds Ca at (0.000, 0.000, 0.000), Ac at (0.000, 0.500, 0.443), Ge at (0.500, 0.500, 0.010), O at (0.000, 0.000, 0.533), O at (0.274, 0.274, 0.117) and O at (0.500, 0.500, 0.634).

The calculation puts the total magnetization at 0.000 μB per cell. The value obtained for the raw formation energy is -2.775 eV per atom. Its electronic total energy is -72.3 eV/cell. As for the density of states at the Fermi level: 0.00 states/eV per atom.

=====

[2]
An optimized crystal structure of CaAc2GeO5. Source: Alexandria via LeMat-Bulk, functional GGA-PBE.

The structure belongs to space group P4/mbm (No. 127); the cell edges are 7.081, 7.081 and 6.182 Å and the angles 90.00°, 90.00° and 90.00°. The asymmetric unit holds Ca at (0.000, 0.000, 0.000), Ac at (0.172, 0.328, 0.500), Ge at (0.000, 0.500, 0.000), O at (0.000, 0.000, 0.500) and O at (0.148, 0.648, 0.240).

The calculation puts the total magnetization at 0.000 μB per cell. The value obtained for the raw formation energy is -2.361 eV per atom. Its electronic total energy is -121.7 eV/cell. As for the density of states at the Fermi level: 0.21 states/eV per atom.

=====

[3]
An optimized crystal structure of CaAc2Ge3Pd4. Source: Alexandria via LeMat-Bulk, functional GGA-PBE.

The structure belongs to space group P-4m2 (No. 115); the cell edges are 4.461, 4.461 and 11.091 Å and the angles 90.00°, 90.00° and 90.00°. The asymmetric unit holds Ca at (0.000, 0.000, 0.000), Ac at (0.000, 0.500, 0.729), Ge at (0.000, 0.500, 0.383), Ge at (0.500, 0.500, 0.000), Pd at (0.000, 0.000, 0.500), Pd at (0.000, 0.500, 0.155) and Pd at (0.500, 0.500, 0.500).

The formation energy is -0.80 eV per atom. The calculation puts the total magnetization at 0.000 μB per cell. Its electronic total energy is -52.8 eV/cell. As for the density of states at the Fermi level: 0.44 states/eV per atom.

=====

[4]
An optimized crystal structure of CaAc2Ge3Pd12. Source: Alexandria via LeMat-Bulk, functional GGA-PBE.

The structure belongs to space group R-3m (No. 166, hexagonal axes); the cell edges are 9.4699, 9.4699 and 13.3273 Å and the angles 90.00°, 90.00° and 120.00°. The asymmetric unit holds Ca at (0.0000, 0.0000, 0.0000), Ac at (0.0000, 0.0000, 0.3546), Ge at (0.0000, 0.5000, 0.5000), Pd at (0.0008, 0.5004, 0.6853) and Pd at (0.0237, 0.5118, 0.8882).

The formation energy is -0.46 eV per atom. The calculation puts the total magnetization at 0.000 μB per cell. Its electronic total energy is -284.2 eV/cell. As for the density of states at the Fermi level: 0.50 states/eV per atom.

=====

[5]
An optimized crystal structure of CaAcGePd. Source: Alexandria via LeMat-Bulk, functional GGA-PBE.

The structure belongs to space group F-43m (No. 216); the cell edges are 7.484, 7.484 and 7.484 Å and the angles 90.00°, 90.00° and 90.00°. The asymmetric unit holds Ca at (0.000, 0.000, 0.000), Ac at (0.000, 0.000, 0.500), Ge at (0.250, 0.250, 0.250) and Pd at (0.250, 0.250, 0.750).

The formation energy is -0.65 eV per atom. The calculation puts the total magnetization at 0.000 μB per cell. The value obtained for the energy above the lowest structure with this stoichiometry is 57 meV/atom. Its electronic total energy is -74.0 eV/cell. As for the density of states at the Fermi level: 0.65 states/eV per atom.

=====

[6]
An optimized crystal structure of CaAcGePd. Source: Alexandria via LeMat-Bulk, functional GGA-PBE.

The structure belongs to space group Amm2 (No. 38); the cell edges are 4.359, 4.373 and 11.411 Å and the angles 90.00°, 90.00° and 90.00°. The asymmetric unit holds Ca at (0.000, 0.000, 0.000), Ac at (0.500, 0.000, 0.278), Ge at (0.500, 0.000, 0.562) and Pd at (0.000, 0.000, 0.702).

The formation energy is -0.70 eV per atom. The calculation puts the total magnetization at 0.000 μB per cell. The value obtained for the energy above the lowest structure with this stoichiometry is 0 meV/atom. Its electronic total energy is -37.5 eV/cell. As for the density of states at the Fermi level: 0.94 states/eV per atom.

=====

[7]
An optimized crystal structure of CaAcGePt. Source: Alexandria via LeMat-Bulk, functional GGA-PBE.

The structure belongs to space group Amm2 (No. 38); the cell edges are 4.303, 4.406 and 11.338 Å and the angles 90.00°, 90.00° and 90.00°. The asymmetric unit holds Ca at (0.000, 0.000, 0.000), Ac at (0.500, 0.000, 0.280), Ge at (0.500, 0.000, 0.566) and Pt at (0.000, 0.000, 0.707).

The formation energy is -0.85 eV per atom. The calculation puts the total magnetization at 0.000 μB per cell. The value obtained for the energy above the lowest structure with this stoichiometry is 0 meV/atom. Its electronic total energy is -40.4 eV/cell. As for the density of states at the Fermi level: 0.81 states/eV per atom.

=====

[8]
An optimized crystal structure of CaAcGePt. Source: Alexandria via LeMat-Bulk, functional GGA-PBE.

The structure belongs to space group F-43m (No. 216); the cell edges are 7.451, 7.451 and 7.451 Å and the angles 90.00°, 90.00° and 90.00°. The asymmetric unit holds Ca at (0.000, 0.000, 0.000), Ac at (0.000, 0.000, 0.500), Ge at (0.250, 0.250, 0.750) and Pt at (0.250, 0.250, 0.250).

The formation energy is -0.74 eV per atom. The calculation puts the total magnetization at 0.000 μB per cell. The value obtained for the energy above the lowest structure with this stoichiometry is 114 meV/atom. Its electronic total energy is -78.9 eV/cell. As for the density of states at the Fermi level: 0.74 states/eV per atom.